(1)
A plane-wave DFT calculation with PBE-GGA was carried out for crystalline LaIn3 at its relaxed geometry.

Cell and atoms, written as POSCAR:
```
LaIn3
1.0
-1.018 -3.391 -0.301
1.554 1.638 -2.743
9.451 -3.145 3.478
In La
3 1
Direct
0.000 0.000 0.012
0.000 0.000 0.488
0.667 0.333 0.250
0.667 0.333 0.750
```

Properties
**Energy of formation**: -0.136 eV/atom

=====

(2)
A plane-wave DFT calculation with PBE-GGA was carried out for crystalline RbCuRuAu2 at its relaxed geometry.

Cell and atoms, written as POSCAR:
```
RbCuRuAu2
1.0
-0.296 2.726 -5.012
-5.044 -0.234 0.170
-0.141 5.014 2.735
Ru Au Cu Rb
1 2 1 1
Direct
0.000 0.500 0.000
0.000 0.000 0.500
0.500 0.000 0.000
0.500 0.500 0.500
0.000 0.000 0.000
```

Properties
**Energy of formation**: 2.214 eV/atom

=====

(3)
A plane-wave DFT calculation with PBE-GGA was carried out for crystalline Nd4Tl2In at its relaxed geometry.

Cell and atoms, written as POSCAR:
```
Nd4Tl2In
1.0
6.288 -0.039 -2.236
-3.145 5.459 -2.201
-0.022 0.039 6.674
Tl Nd In
2 4 1
Direct
0.500 0.500 0.000
0.500 0.000 0.500
0.500 0.000 0.000
0.500 0.500 0.500
0.000 0.000 0.500
0.000 0.500 0.000
0.000 0.000 0.000
```

Properties
**Energy of formation**: -0.286 eV/atom

=====

(4)
A plane-wave DFT calculation with PBE-GGA was carried out for crystalline La2CuTe at its relaxed geometry.

Cell and atoms, written as POSCAR:
```
La2CuTe
1.0
6.381 -0.007 0.000
3.234 5.501 0.000
-4.807 -2.747 3.172
Cu La Te
1 2 1
Direct
0.750 0.250 0.500
0.000 0.000 0.000
0.250 0.750 0.500
0.500 0.500 0.000
```

Properties
**Formation energy from raw total energies**: -0.58 eV/atom

=====

(5)
A plane-wave DFT calculation with PBE-GGA was carried out for crystalline Ce2Ga2CoGe4 at its relaxed geometry.

Cell and atoms, written as POSCAR:
```
Ce2Ga2CoGe4
1.0
-0.579 -3.391 5.127
5.100 3.389 -0.792
-3.621 4.945 -0.747
Ce Ga Co Ge
2 2 1 4
Direct
0.500 0.750 0.250
0.500 0.250 0.750
0.000 0.719 0.719
0.000 0.281 0.281
0.000 0.000 0.000
0.000 0.729 0.271
0.457 0.729 0.729
0.000 0.271 0.729
0.543 0.271 0.271
```

Properties
**Energy of formation**: -0.515 eV/atom

=====

(6)
A plane-wave DFT calculation with PBE-GGA was carried out for crystalline La2Nd5Ho4 at its relaxed geometry.

Cell and atoms, written as POSCAR:
```
La2Nd5Ho4
1.0
0.349 3.202 -1.636
0.853 -5.633 -10.845
-9.035 0.128 2.313
La Nd Ho
2 5 4
Direct
0.680 0.300 0.359
0.320 0.700 0.641
0.893 0.482 0.785
0.107 0.518 0.215
0.834 0.987 0.668
0.500 0.000 0.000
0.166 0.013 0.332
0.331 0.230 0.661
0.005 0.753 0.011
0.669 0.770 0.339
0.995 0.247 0.989
```

Properties
**Energy of formation**: 0.135 eV/atom